VASP calculation (PBE-GGA) on an optimized crystal structure of La2Ga3Cu12Ni.

abc: 6.2339 6.2339 26.8018
angles: 90.00 90.00 120.00
Closest atoms and distances in Å follow each position.
Space group R-3m (No. 166, hexagonal axes)
Unique sites:
La (0.0000, 0.0000, 0.1545)  6 Cu 3.08-3.13
Ga (0.0000, 0.5000, 0.0000)  6 Cu 2.43-2.59
Cu (0.0604, 0.5302, 0.0957)  1 Ni 2.41, 4 Cu 2.49-2.55, 1 Ga 2.59
Cu (0.0744, 0.5372, 0.6166)  4 Cu 2.42-2.49, 2 Ga 2.43
Ni (0.0000, 0.0000, 0.5000)  6 Cu 2.41

Values from the calculation:
- Crystal system: trigonal



VASP calculation (PBE-GGA) on an optimized crystal structure of La2GaCu3Ni12.

abc: 6.0309 6.0309 25.6343
angles: 90.00 90.00 120.00
Closest atoms and distances in Å follow each position.
Space group R-3m (No. 166, hexagonal axes)
Unique sites:
La (0.0000, 0.0000, 0.1557)  6 Ni 2.96-3.00
Ga (0.0000, 0.0000, 0.5000)  6 Ni 2.35
Cu (0.0000, 0.5000, 0.0000)  6 Ni 2.36-2.43
Ni (0.0582, 0.5291, 0.0939)  1 Ga 2.35, 4 Ni 2.36-2.49, 1 Cu 2.43
Ni (0.0741, 0.5371, 0.6155)  4 Ni 2.34-2.36, 2 Cu 2.36

Values from the calculation:
- Crystal system: trigonal



VASP calculation (PBE-GGA) on an optimized crystal structure of LaGaCuNi.

abc: 4.2665 4.2665 14.6147
angles: 90.00 90.00 120.00
Closest atoms and distances in Å follow each position.
Space group R3m (No. 160, hexagonal axes)
Unique sites:
La (0.0000, 0.0000, 0.0000)  1 Ni 2.82, 4 Cu 2.90-3.15
Ga (0.0000, 0.0000, 0.4879)  3 Ni 2.47, 3 Cu 2.55
Cu (0.0000, 0.0000, 0.1987)  3 Ga 2.55, 3 Ni 2.61
Ni (0.0000, 0.0000, 0.8067)  3 Ga 2.47, 3 Cu 2.61

Values from the calculation:
- Crystal system: trigonal



Number 1: magnetic moment 0.0 Bohr magnetons per cell, final energy -4.029 eV per atom. Number 2: magnetic moment 0.0 Bohr magnetons per cell, final energy -5.095 eV per atom. Number 3: magnetic moment 0.0 Bohr magnetons per cell, final energy -4.883 eV per atom.